The following is a PBE calculation of a geometry-optimized TbHoLuCd structure, from Alexandria via LeMat-Bulk.

* DFT formation energy: -0.037 eV per atom
* uncorrected energy: -14.8 eV per formula unit

a b c (Å): 7.6430 7.6430 7.6430
angles (deg): 90.00 90.00 90.00
Last column: nearest neighbours and their distance in Å.
Space group F-43m (No. 216)
Asymmetric unit:
Tb: 0.0000 0.0000 0.0000 [4 per cell]  4 Lu 3.31, 4 Cd 3.31
Ho: 0.0000 0.0000 0.5000 [4 per cell]  4 Cd 3.31, 4 Lu 3.31
Lu: 0.2500 0.2500 0.2500 [4 per cell]  4 Tb 3.31, 4 Ho 3.31
Cd: 0.2500 0.2500 0.7500 [4 per cell]  4 Tb 3.31, 4 Ho 3.31